Record 1
Here is PaSb6Pd12 after structural relaxation from Alexandria via LeMat-Bulk. Energies are from PBE.

The structure in extended XYZ format:
```
19
Lattice="-6.156 -3.703 -2.805 6.102 -4.481 -1.467 -0.829 0.124 7.666" Properties=species:S:1:pos:R:3 pbc="T T T"
Pd -4.999 -3.740 1.200
Pd -2.422 -5.453 -2.196
Pd 1.149 -1.725 1.742
Pd 0.820 -6.516 1.964
Pd 1.539 -2.607 5.590
Pd 2.136 -5.742 -1.699
Pd -2.031 -6.334 1.652
Pd -0.090 -2.615 -0.694
Pd 4.117 -4.319 2.195
Pd -1.703 -1.544 1.431
Pd -3.018 -2.318 5.093
Pd -0.792 -5.444 4.088
Sb -0.317 -5.999 -0.585
Sb 2.229 -3.916 0.297
Sb -0.565 -2.060 3.979
Sb -2.712 -3.603 -0.242
Sb -3.111 -4.143 3.097
Sb 1.830 -4.457 3.636
Pa 0.000 0.000 0.000
```

=====

Record 2
Here is PaSbPd after structural relaxation from Alexandria via LeMat-Bulk. Energies are from PBE.

The structure in extended XYZ format:
```
3
Lattice="-2.585 -1.321 -2.483 1.588 -3.468 0.191 -2.379 1.275 4.737" Properties=species:S:1:pos:R:3 pbc="T T T"
Sb -1.461 -2.769 0.056
Pa -1.952 -0.760 2.436
Pd -3.339 -3.500 2.400
```

=====

Record 3
Here is PaSbPd after structural relaxation from Alexandria via LeMat-Bulk. Energies are from PBE.

The structure in extended XYZ format:
```
3
Lattice="-2.414 -2.794 -1.780 -0.411 -2.118 3.880 -2.881 3.192 -1.102" Properties=species:S:1:pos:R:3 pbc="T T T"
Pd -2.307 -2.670 -1.702
Pa -2.760 0.610 0.041
Sb -3.053 -2.452 0.878
```

=====

Record 4
Here is Pa2SbPd after structural relaxation from Alexandria via LeMat-Bulk. Energies are from PBE.

The structure in extended XYZ format:
```
4
Lattice="-3.185 -0.137 -2.526 0.598 -0.282 -4.013 -0.948 -7.547 -1.671" Properties=species:S:1:pos:R:3 pbc="T T T"
Pa -0.881 -1.799 -2.066
Pa -2.653 -6.167 -6.145
Pd 0.000 0.000 0.000
Sb -1.767 -3.983 -4.105
```

The relative energy among the computed polymorphs comes out at 1.797 kcal/mol of atoms.

=====

Record 5
Here is Pa2SbPd after structural relaxation from Alexandria via LeMat-Bulk. Energies are from PBE.

The structure in extended XYZ format:
```
4
Lattice="-2.428 -4.527 0.653 0.875 -3.905 -3.286 2.655 -4.160 1.570" Properties=species:S:1:pos:R:3 pbc="T T T"
Pd 0.000 0.000 0.000
Pa 0.276 -3.148 -0.266
Pa 0.827 -9.444 -0.798
Sb 0.551 -6.296 -0.532
```

The relative energy among the computed polymorphs comes out at 4.478 kcal/mol of atoms.

=====

Record 6
Here is PaSbPd after structural relaxation from Alexandria via LeMat-Bulk. Energies are from PBE.

The structure in extended XYZ format:
```
6
Lattice="4.417 0.000 0.000 2.209 3.826 0.000 2.209 1.275 8.491" Properties=species:S:1:pos:R:3 pbc="T T T"
Pa 6.626 3.826 3.489
Pa 2.209 1.275 5.002
Pd 6.626 3.826 6.480
Pd 2.209 1.275 2.011
Sb 4.417 2.550 1.100
Sb 4.417 2.550 7.390
```

=====

Record 7
Here is Pa2SbPd7 after structural relaxation from Alexandria via LeMat-Bulk. Energies are from PBE.

The structure in extended XYZ format:
```
10
Lattice="-1.708 2.698 2.907 -2.949 -5.696 3.553 7.348 2.286 2.196" Properties=species:S:1:pos:R:3 pbc="T T T"
Pd 2.163 -3.196 4.237
Pd -1.993 -3.394 5.186
Pd 2.847 -0.868 5.685
Pd -2.328 -1.499 3.230
Pd 4.684 2.682 3.471
Pd 2.236 -0.214 1.513
Pd -0.155 0.155 2.972
Sb 0.000 0.000 0.000
Pa -0.054 -1.717 4.768
Pa 2.746 1.004 3.888
```

=====

Record 8
Here is PaSbPd4 after structural relaxation from Alexandria via LeMat-Bulk. Energies are from PBE.

The structure in extended XYZ format:
```
6
Lattice="-3.615 -2.132 3.401 1.668 -2.684 4.381 -0.685 2.149 4.908" Properties=species:S:1:pos:R:3 pbc="T T T"
Pa -0.658 -0.667 3.173
Sb 0.000 0.000 0.000
Pd 0.157 -0.604 6.231
Pd -1.644 -1.666 7.925
Pd -1.302 -2.736 5.481
Pd -2.475 -0.328 5.743
```

The relative energy among the computed polymorphs comes out at 1.625 kcal/mol of atoms.

=====

Record 9
Here is Pa2Sb3Pd2 after structural relaxation from Alexandria via LeMat-Bulk. Energies are from PBE.

The structure in extended XYZ format:
```
14
Lattice="-7.669 -0.122 -0.978 -1.065 -1.139 8.486 -4.917 4.990 0.053" Properties=species:S:1:pos:R:3 pbc="T T T"
Sb -4.367 -0.630 3.754
Sb -8.732 0.520 4.283
Sb -5.205 0.251 7.230
Sb -4.920 3.209 3.277
Sb 0.000 0.000 0.000
Sb -8.446 3.478 0.330
Pd -3.476 2.704 1.050
Pd -10.175 1.025 6.511
Pd -7.571 2.365 2.631
Pd -6.080 1.364 4.929
Pa -11.595 3.131 5.379
Pa -5.851 0.580 1.371
Pa -7.800 3.149 6.189
Pa -2.057 0.598 2.181
```

=====

Record 10
Here is PaSb2Pd8 after structural relaxation from Alexandria via LeMat-Bulk. Energies are from PBE.

The structure in extended XYZ format:
```
11
Lattice="-2.972 1.440 2.964 -4.730 -0.526 -5.104 0.631 -6.245 3.050" Properties=species:S:1:pos:R:3 pbc="T T T"
Pd -5.546 -3.194 1.406
Pd -3.644 -3.450 4.045
Pd -4.108 -5.684 0.714
Pd -5.475 -4.226 -1.365
Pd -1.621 -1.147 2.261
Pd -2.988 0.311 0.182
Pd -1.550 -2.180 -0.510
Pd -6.424 -0.484 -0.185
Pa -2.985 1.419 2.957
Sb -4.310 -1.873 -0.711
Sb -2.786 -3.500 1.608
```

=====

Record 11
Here is PaSbPd4 after structural relaxation from Alexandria via LeMat-Bulk. Energies are from PBE.

The structure in extended XYZ format:
```
12
Lattice="-3.568 0.740 -2.175 -4.276 -4.216 5.582 0.873 4.948 4.407" Properties=species:S:1:pos:R:3 pbc="T T T"
Pd -2.138 -2.108 2.791
Pd 0.000 0.000 0.000
Pd -6.358 -2.105 5.575
Pd -4.995 -2.779 3.106
Pd -1.976 4.251 4.707
Pd -4.225 -0.002 2.790
Pd -2.746 1.474 5.023
Pd -0.613 3.577 2.239
Sb -1.354 0.601 2.427
Sb -5.617 0.871 5.386
Pa -3.476 2.958 2.582
Pa -3.495 -1.486 5.231
```

The relative energy among the computed polymorphs comes out at 0.000 kcal/mol of atoms.

=====

Record 12
Here is PaSb2Pd2 after structural relaxation from Alexandria via LeMat-Bulk. Energies are from PBE.

The structure in extended XYZ format:
```
10
Lattice="4.327 0.000 0.000 0.000 5.007 0.261 0.000 -0.645 10.250" Properties=species:S:1:pos:R:3 pbc="T T T"
Pa 1.082 3.354 2.595
Pa 3.245 1.008 7.916
Pd 3.245 1.001 3.927
Pd 3.245 3.410 0.398
Pd 1.082 0.951 10.114
Pd 1.082 3.361 6.584
Sb 1.082 0.914 5.502
Sb 1.082 3.543 9.147
Sb 3.245 0.819 1.364
Sb 3.245 3.448 5.010
```

=====

The following energy relative to the elements, uncorrected values (in eV per atom) correspond, in order, to the records above: -0.35; -0.42; -0.61; -0.29; -0.18; -0.26; -0.15; -0.51; -0.53; -0.47; -0.58; -0.48.